Entry from Alexandria: crystalline Ca2Nd6Sm3 at its relaxed geometry (PBE).

Unit cell a=33.5450 b=33.5450 c=33.5450 alpha=6.30 beta=6.30 gamma=6.30
Fractional positions:
Ca: 0.0464 0.0464 0.0464
Ca: 0.9536 0.9536 0.9536
Nd: 0.1371 0.1371 0.1371
Nd: 0.3190 0.3190 0.3190
Nd: 0.4117 0.4117 0.4117
Nd: 0.5883 0.5883 0.5883
Nd: 0.6810 0.6810 0.6810
Nd: 0.8629 0.8629 0.8629
Sm: 0.2260 0.2260 0.2260
Sm: 0.5000 0.5000 0.5000
Sm: 0.7740 0.7740 0.7740

Entry from Alexandria: crystalline CaNd6Sm2 at its relaxed geometry (PBE).

Unit cell a=12.2400 b=12.2400 c=5.8829 alpha=103.88 beta=103.88 gamma=48.37
Fractional positions:
Ca: 0.2479 0.7521 0.7500
Ca: 0.7521 0.2479 0.2500
Nd: 0.0013 0.8287 0.1866
Nd: 0.0777 0.5814 0.5795
Nd: 0.1713 0.9987 0.3134
Nd: 0.3370 0.4940 0.1355
Nd: 0.4186 0.9223 0.9205
Nd: 0.4940 0.3370 0.6355
Nd: 0.5060 0.6630 0.3645
Nd: 0.5814 0.0777 0.0795
Nd: 0.6630 0.5060 0.8645
Nd: 0.8287 0.0013 0.6866
Nd: 0.9223 0.4186 0.4205
Nd: 0.9987 0.1713 0.8134
Sm: 0.1686 0.3331 0.0180
Sm: 0.3331 0.1686 0.5180
Sm: 0.6669 0.8314 0.4820
Sm: 0.8314 0.6669 0.9820

Entry from Alexandria: crystalline CaNdSm14 at its relaxed geometry (PBE).

Unit cell a=11.7055 b=7.3920 c=7.3920 alpha=59.99 beta=90.00 gamma=90.00
Fractional positions:
Ca: 0.0000 0.0000 0.0000
Nd: 0.0000 0.4985 0.4985
Sm: 0.0000 0.0026 0.4984
Sm: 0.0000 0.4984 0.0026
Sm: 0.2491 0.3332 0.3332
Sm: 0.2523 0.8307 0.8307
Sm: 0.2529 0.3384 0.8308
Sm: 0.2529 0.8308 0.3384
Sm: 0.5000 0.9999 0.9999
Sm: 0.5000 0.0002 0.4996
Sm: 0.5000 0.4996 0.0002
Sm: 0.5000 0.4999 0.4999
Sm: 0.7471 0.3384 0.8308
Sm: 0.7471 0.8308 0.3384
Sm: 0.7477 0.8307 0.8307
Sm: 0.7509 0.3332 0.3332

Entry from Alexandria: crystalline CaNd7Sm12 at its relaxed geometry (PBE).

Unit cell a=10.0347 b=10.0347 c=10.0347 alpha=109.47 beta=109.47 gamma=109.47
Fractional positions:
Ca: 0.0000 0.0000 0.0000
Nd: 0.0000 0.0000 0.5000
Nd: 0.0000 0.5000 0.0000
Nd: 0.0000 0.5000 0.5000
Nd: 0.5000 0.0000 0.0000
Nd: 0.5000 0.0000 0.5000
Nd: 0.5000 0.5000 0.0000
Nd: 0.5000 0.5000 0.5000
Sm: 0.0000 0.2542 0.7458
Sm: 0.0000 0.7458 0.2542
Sm: 0.2542 0.0000 0.7458
Sm: 0.2542 0.2542 0.5084
Sm: 0.2542 0.5084 0.2542
Sm: 0.2542 0.7458 0.0000
Sm: 0.4916 0.7458 0.7458
Sm: 0.5084 0.2542 0.2542
Sm: 0.7458 0.0000 0.2542
Sm: 0.7458 0.2542 0.0000
Sm: 0.7458 0.4916 0.7458
Sm: 0.7458 0.7458 0.4916

Entry from Alexandria: crystalline CaNd4Sm6 at its relaxed geometry (PBE).

Unit cell a=10.0189 b=10.0189 c=10.0189 alpha=140.93 beta=140.93 gamma=56.44
Fractional positions:
Ca: 0.0000 0.0000 0.0000
Nd: 0.0075 0.6334 0.0000
Nd: 0.3666 0.3666 0.3741
Nd: 0.6334 0.0075 0.0000
Nd: 0.9925 0.9925 0.6259
Sm: 0.0000 0.5000 0.5000
Sm: 0.2007 0.2007 0.6568
Sm: 0.4561 0.7993 0.0000
Sm: 0.5000 0.0000 0.5000
Sm: 0.5439 0.5439 0.3432
Sm: 0.7993 0.4561 0.0000

Entry from Alexandria: crystalline Ca2Nd2Sm at its relaxed geometry (PBE).

Unit cell a=3.7156 b=3.7156 c=15.5735 alpha=90.00 beta=90.00 gamma=120.00
Fractional positions:
Ca: 0.3333 0.6667 0.3938
Ca: 0.6667 0.3333 0.6062
Nd: 0.3333 0.6667 0.8130
Nd: 0.6667 0.3333 0.1870
Sm: 0.0000 0.0000 0.0000

Across the entries above, raw total energy takes the values -4.2264, -4.3603, -4.5127, -4.0297, -4.1748, -3.6178 eV per atom, respectively.
Across the entries above, energy relative to the elements takes the values 0.28, 0.80, 0.63, 11.41, 3.47, 0.17 eV per formula unit, respectively.
Across the entries above, volume takes the values 35.84, 35.31, 34.62, 38.89, 36.03, 37.24 A^3/atom, respectively.